Run 1
PBE-GGA TlZnTc2, optimized geometry; space-group type = I-4m2 (119)
1.0
4.2000 0.0000 0.0000
0.0000 4.2000 0.0000
0.0000 0.0000 7.3956
Tl Zn Tc
2 2 4
Direct
0.0000 0.0000 0.0000 Tl
0.5000 0.5000 0.5000 Tl
0.0000 0.5000 0.7500 Zn
0.5000 0.0000 0.2500 Zn
0.0000 0.0000 0.5000 Tc
0.0000 0.5000 0.2500 Tc
0.5000 0.0000 0.7500 Tc
0.5000 0.5000 0.0000 Tc

Run 2
PBE-GGA TlZnTc2, optimized geometry; space-group type = P2/m (10)
1.0
3.1263 0.0000 0.0000
0.0000 4.6452 0.0000
-0.1729 0.0000 4.9911
Tl Zn Tc
1 1 2
Direct
0.0000 0.0000 0.0000 Tl
0.5000 0.0000 0.5000 Zn
0.2073 0.5000 0.3114 Tc
0.7927 0.5000 0.6886 Tc

Most stable one: run 1, least stable one: run 2.

Run 1
PBE-GGA TlZnTc2, optimized geometry; space-group type = Cmm2 (35)
1.0
3.0586 0.0000 0.0000
0.0000 4.8507 0.0000
0.0000 0.0000 9.5459
Tl Zn Tc
2 2 4
Direct
0.0000 0.0000 0.0000 Tl
0.5000 0.5000 0.0000 Tl
0.0000 0.5000 0.2868 Zn
0.5000 0.0000 0.2868 Zn
0.0000 0.0000 0.5136 Tc
0.0000 0.5000 0.7251 Tc
0.5000 0.0000 0.7251 Tc
0.5000 0.5000 0.5136 Tc

Run 2
PBE-GGA TlZnTc2, optimized geometry; space-group type = Fm-3m (225)
1.0
6.3932 0.0000 0.0000
0.0000 6.3932 0.0000
0.0000 0.0000 6.3932
Tl Zn Tc
4 4 8
Direct
0.0000 0.0000 0.0000 Tl
0.0000 0.5000 0.5000 Tl
0.5000 0.0000 0.5000 Tl
0.5000 0.5000 0.0000 Tl
0.0000 0.0000 0.5000 Zn
0.0000 0.5000 0.0000 Zn
0.5000 0.0000 0.0000 Zn
0.5000 0.5000 0.5000 Zn
0.2500 0.2500 0.2500 Tc
0.2500 0.2500 0.7500 Tc
0.2500 0.7500 0.2500 Tc
0.2500 0.7500 0.7500 Tc
0.7500 0.2500 0.2500 Tc
0.7500 0.2500 0.7500 Tc
0.7500 0.7500 0.2500 Tc
0.7500 0.7500 0.7500 Tc

Most stable one: run 1, least stable one: run 2.

Run 1
PBE-GGA Tl2ZnTc, optimized geometry; space-group type = C2/m (12)
1.0
9.7273 0.0000 0.0000
0.0000 3.2349 0.0000
-1.0753 0.0000 5.1454
Tl Zn Tc
4 2 2
Direct
0.2439 0.0000 0.2413 Tl
0.2561 0.5000 0.7587 Tl
0.7439 0.5000 0.2413 Tl
0.7561 0.0000 0.7587 Tl
0.0000 0.0000 0.5000 Zn
0.5000 0.5000 0.5000 Zn
0.0000 0.5000 0.0000 Tc
0.5000 0.0000 0.0000 Tc

Run 2
PBE-GGA Tl2ZnTc, optimized geometry; space-group type = I4/mmm (139)
1.0
4.1873 0.0000 0.0000
0.0000 4.1873 0.0000
0.0000 0.0000 8.9190
Tl Zn Tc
4 2 2
Direct
0.0000 0.5000 0.2500 Tl
0.0000 0.5000 0.7500 Tl
0.5000 0.0000 0.2500 Tl
0.5000 0.0000 0.7500 Tl
0.0000 0.0000 0.0000 Zn
0.5000 0.5000 0.5000 Zn
0.0000 0.0000 0.5000 Tc
0.5000 0.5000 0.0000 Tc

Run 3
PBE-GGA Tl2ZnTc, optimized geometry; space-group type = P4mm (99)
1.0
3.1326 0.0000 0.0000
0.0000 3.1326 0.0000
0.0000 0.0000 8.8594
Tl Zn Tc
2 1 1
Direct
0.0000 0.0000 0.0000 Tl
0.5000 0.5000 0.3304 Tl
0.0000 0.0000 0.6030 Zn
0.5000 0.5000 0.7694 Tc

Run 4
PBE-GGA Tl2ZnTc, optimized geometry; space-group type = Pmmm (47)
1.0
3.0987 0.0000 0.0000
0.0000 4.9031 0.0000
0.0000 0.0000 5.4029
Tl Zn Tc
2 1 1
Direct
0.0000 0.0000 0.0000 Tl
0.5000 0.0000 0.5000 Tl
0.0000 0.5000 0.5000 Zn
0.5000 0.5000 0.0000 Tc

Most stable one: run 3, least stable one: run 4.